1.
First-principles (PBE-GGA) data for a relaxed structure of Ac2Er2Cd15, as listed in Alexandria.

The value obtained for the total energy is -1.8187 eV/atom. Its formation energy is -3.5 eV/f.u. Its magnetization is 0.014 μB/cell. The density of states at the Fermi level is 0.593 states/eV per atom.

The space group is R-3m (No. 166, hexagonal axes) and the conventional cell measures 10.2376, 10.2376 and 15.9272 Å, with angles of 90.00, 90.00 and 120.00 degrees. The inequivalent atoms are Ac at (0.0000, 0.0000, 0.1650), Er at (0.0000, 0.0000, 0.4010), Cd at (0.0000, 0.2890, 0.5000), Cd at (0.0000, 0.5000, 0.0000) and Cd at (0.0090, 0.5045, 0.6404).



2.
First-principles (PBE-GGA) data for a relaxed structure of AcEr2Cd3, as listed in Alexandria.

The value obtained for the total energy is -2.9512 eV/atom. Its formation energy is -1.7 eV/f.u. Its magnetization is 0.520 μB/cell. The density of states at the Fermi level is 1.060 states/eV per atom.

The space group is P4/mmm (No. 123) and the conventional cell measures 3.800, 3.800 and 11.694 Å, with angles of 90.00, 90.00 and 90.00 degrees. The inequivalent atoms are Ac at (0.000, 0.000, 0.000), Er at (0.000, 0.000, 0.345), Cd at (0.500, 0.500, 0.198) and Cd at (0.500, 0.500, 0.500).



3.
First-principles (PBE-GGA) data for a relaxed structure of Ac2ErCd, as listed in Alexandria.

The value obtained for the total energy is -3.4487 eV/atom. Its energy above the lowest structure with this stoichiometry is 73 meV/atom. Its formation energy is -0.1 eV/f.u. Its magnetization is 0.001 μB/cell. The density of states at the Fermi level is 1.185 states/eV per atom.

The space group is Fm-3m (No. 225) and the conventional cell measures 8.268, 8.268 and 8.268 Å, with angles of 90.00, 90.00 and 90.00 degrees. The inequivalent atoms are Ac at (0.250, 0.250, 0.250), Er at (0.000, 0.000, 0.000) and Cd at (0.000, 0.000, 0.500).



4.
First-principles (PBE-GGA) data for a relaxed structure of AcEr2Cd, as listed in Alexandria.

The value obtained for the total energy is -3.5538 eV/atom. Its energy above the lowest structure with this stoichiometry is 94 meV/atom. Its formation energy is -0.1 eV/f.u. Its magnetization is 0.284 μB/cell. The density of states at the Fermi level is 1.523 states/eV per atom.

The space group is P4/mmm (No. 123) and the conventional cell measures 4.965, 4.965 and 5.104 Å, with angles of 90.00, 90.00 and 90.00 degrees. The inequivalent atoms are Ac at (0.000, 0.000, 0.000), Er at (0.000, 0.500, 0.500) and Cd at (0.500, 0.500, 0.000).



5.
First-principles (PBE-GGA) data for a relaxed structure of Ac3Er2Cd3, as listed in Alexandria.

The value obtained for the total energy is -3.2257 eV/atom. Its formation energy is -1.6 eV/f.u. Its magnetization is 0.000 μB/cell. The density of states at the Fermi level is 1.241 states/eV per atom.

The space group is Immm (No. 71) and the conventional cell measures 3.932, 5.743 and 23.341 Å, with angles of 90.00, 90.00 and 90.00 degrees. The inequivalent atoms are Ac at (0.000, 0.000, 0.000), Ac at (0.000, 0.500, 0.126), Er at (0.000, 0.000, 0.236), Cd at (0.000, 0.000, 0.500) and Cd at (0.000, 0.500, 0.371).



6.
First-principles (PBE-GGA) data for a relaxed structure of AcEr2Cd, as listed in Alexandria.

The value obtained for the total energy is -3.6477 eV/atom. Its energy above the lowest structure with this stoichiometry is 0 meV/atom. Its formation energy is -0.4 eV/f.u. Its magnetization is 0.000 μB/cell. The density of states at the Fermi level is 1.347 states/eV per atom.

The space group is P4/mmm (No. 123) and the conventional cell measures 3.737, 3.737 and 9.016 Å, with angles of 90.00, 90.00 and 90.00 degrees. The inequivalent atoms are Ac at (0.000, 0.000, 0.000), Er at (0.500, 0.500, 0.296) and Cd at (0.000, 0.000, 0.500).